Entry 1:
The following is a DFT calculation (GGA-PBE) of a relaxed structure of NaZn2S.

Cell: 8.1127 8.1127 6.2795 Å, 49.76 49.76 90.00°
With the nearest neighbours (Å) after each atom.
Atoms (fractional coordinates):
Na 0.2500 0.7500 0.5000  2 S 2.55
Na 0.5000 0.5000 0.0000  2 S 2.55
Zn 0.6920 0.1250 0.2500  2 S 2.59, 2 Zn 2.78
Zn 0.0580 0.6250 0.2500  2 S 2.59, 2 Zn 2.78
Zn 0.8750 0.9420 0.7500  2 S 2.59, 2 Zn 2.78
Zn 0.3750 0.3080 0.7500  2 S 2.59, 2 Zn 2.78
S 0.7500 0.2500 0.5000  2 Na 2.55, 4 Zn 2.59
S 0.0000 0.0000 0.0000  2 Na 2.55, 4 Zn 2.59

Calculated values
Magnetization (μB/atom): 0.000
Symmetry: No. 122
Electronic total energy (eV for the cell shown): -17.8



Entry 2:
The following is a DFT calculation (GGA-PBE) of a relaxed structure of Na2Zn3S4.

Cell: 8.6885 8.6885 8.6885 Å, 140.06 110.10 83.66°
With the nearest neighbours (Å) after each atom.
Atoms (fractional coordinates):
S 0.2282 0.6349 0.1423  3 Zn 2.31-2.49
S 0.4926 0.0860 0.8577  3 Zn 2.31-2.49
S 0.9926 0.1349 0.4066  3 Zn 2.31-2.49
S 0.2718 0.4140 0.4066  3 Zn 2.31-2.49
S 0.7282 0.5860 0.5934  3 Zn 2.31-2.49
S 0.0074 0.8651 0.5934  3 Zn 2.31-2.49
S 0.7718 0.3651 0.8577  3 Zn 2.31-2.49
S 0.5074 0.9140 0.1423  3 Zn 2.31-2.49
Zn 0.7500 0.2500 0.5000  4 S 2.36
Zn 0.9627 0.7500 0.2127  4 S 2.31-2.49
Zn 0.0373 0.2500 0.7873  4 S 2.31-2.49
Zn 0.5373 0.7500 0.7873  4 S 2.31-2.49
Zn 0.2500 0.7500 0.5000  4 S 2.36
Zn 0.4627 0.2500 0.2127  4 S 2.31-2.49
Na 0.3746 0.2344 0.6091  6 S 3.02-3.27
Na 0.8746 0.2656 0.1402  6 S 3.02-3.27
Na 0.1254 0.7344 0.8598  6 S 3.02-3.27
Na 0.6254 0.7656 0.3909  6 S 3.02-3.27

Calculated values
Magnetization (μB/atom): 0.000
Symmetry: No. 72
Energy above the most stable polymorph in this dataset (meV per atom): 0
Electronic total energy (eV for the cell shown): -60.9



Entry 3:
The following is a DFT calculation (GGA-PBE) of a relaxed structure of Na4Zr3ZnS8.

Cell: 7.4597 7.9804 7.4611 Å, 117.89 119.99 90.00°
With the nearest neighbours (Å) after each atom.
Atoms (fractional coordinates):
S 0.2387 0.7184 0.4774  1 Zn 2.60, 2 Zr 2.61, 3 Na 2.86-2.87
S 0.2584 0.2751 0.5167  3 Zr 2.63, 3 Na 2.84
S 0.2378 0.7177 0.9801  1 Zn 2.59, 2 Zr 2.61, 3 Na 2.86-2.88
S 0.7613 0.2816 0.5226  1 Zn 2.60, 2 Zr 2.61, 3 Na 2.86-2.87
S 0.2577 0.2823 0.0199  1 Zn 2.59, 2 Zr 2.61, 3 Na 2.86-2.88
S 0.7423 0.7177 0.9801  1 Zn 2.59, 2 Zr 2.61, 3 Na 2.86-2.88
S 0.7416 0.7249 0.4833  3 Zr 2.63, 3 Na 2.84
S 0.7622 0.2823 0.0199  1 Zn 2.59, 2 Zr 2.61, 3 Na 2.86-2.88
Na 0.5000 0.0000 0.5000  6 S 2.84-2.86
Na 0.0000 0.0000 0.0000  6 S 2.84-2.86
Na 0.0000 0.0000 0.5000  6 S 2.84-2.86
Na 0.5000 0.0000 0.0000  6 S 2.87-2.88
Zr 0.5000 0.5000 0.5000  6 S 2.61-2.63
Zr 0.5000 0.5000 0.0000  6 S 2.61-2.63
Zr 0.0000 0.5000 0.5000  6 S 2.61-2.63
Zn 0.0000 0.5000 0.0000  6 S 2.59-2.60

Calculated values
Magnetization (μB/atom): 0.000
Symmetry: No. 12
Electronic total energy (eV for the cell shown): -86.7



Entry 4:
The following is a DFT calculation (GGA-PBE) of a relaxed structure of Na2ZrS3.

Cell: 6.5921 6.7957 6.7957 Å, 116.97 101.12 101.12°
With the nearest neighbours (Å) after each atom.
Atoms (fractional coordinates):
Na 0.2500 0.9172 0.0828  4 S 2.73-2.74
Na 0.7500 0.7580 0.2420  6 S 2.82-2.87
Na 0.2500 0.2420 0.7580  6 S 2.82-2.87
Na 0.7500 0.0828 0.9172  4 S 2.73-2.74
S 0.5083 0.6412 0.7842  2 Zr 2.58-2.59, 3 Na 2.74-2.87
S 0.9917 0.2158 0.3588  2 Zr 2.58-2.59, 3 Na 2.74-2.87
S 0.0000 0.5000 0.0000  2 Zr 2.69, 4 Na 2.73-2.84
S 0.4917 0.3588 0.2158  2 Zr 2.58-2.59, 3 Na 2.74-2.87
S 0.5000 0.0000 0.5000  2 Zr 2.69, 4 Na 2.73-2.84
S 0.0083 0.7842 0.6412  2 Zr 2.58-2.59, 3 Na 2.74-2.87
Zr 0.2500 0.5880 0.4120  6 S 2.58-2.69
Zr 0.7500 0.4120 0.5880  6 S 2.58-2.69

Calculated values
Magnetization (μB/atom): 0.000
Symmetry: No. 15
Electronic total energy (eV for the cell shown): -63.9



Entry 5:
The following is a DFT calculation (GGA-PBE) of a relaxed structure of NaZr3S.

Cell: 4.9242 4.9242 4.9242 Å, 90.00 90.00 90.00°
With the nearest neighbours (Å) after each atom.
Atoms (fractional coordinates):
Na 0.5000 0.5000 0.5000  12 Zr 3.48
Zr 0.5000 0.0000 0.0000  2 S 2.46
Zr 0.0000 0.5000 0.0000  2 S 2.46
Zr 0.0000 0.0000 0.5000  2 S 2.46
S 0.0000 0.0000 0.0000  6 Zr 2.46

Calculated values
Magnetization (μB/atom): 0.000
Symmetry: No. 221
Energy above the most stable polymorph in this dataset (meV per atom): 0
Electronic total energy (eV for the cell shown): -32.1



Entry 6:
The following is a DFT calculation (GGA-PBE) of a relaxed structure of Na2Zr3S6.

Cell: 6.3412 6.3407 7.2538 Å, 81.64 73.10 60.00°
With the nearest neighbours (Å) after each atom.
Atoms (fractional coordinates):
Na 0.8331 0.3337 0.5000  6 S 2.87
Na 0.1669 0.6663 0.5000  6 S 2.87
S 0.0740 0.3327 0.7795  3 Zr 2.61-2.62, 2 Na 2.87
S 0.9260 0.6673 0.2205  3 Zr 2.61-2.62, 2 Na 2.87
S 0.7395 0.0000 0.7793  3 Zr 2.61, 2 Na 2.87
S 0.4067 0.6673 0.7795  3 Zr 2.61-2.62, 2 Na 2.87
S 0.5933 0.3327 0.2205  3 Zr 2.61-2.62, 2 Na 2.87
S 0.2605 0.0000 0.2207  3 Zr 2.61, 2 Na 2.87
Zr 0.0000 0.0000 0.0000  6 S 2.61
Zr 0.3337 0.3327 0.0000  6 S 2.61-2.62
Zr 0.6663 0.6673 0.0000  6 S 2.61-2.62

Calculated values
Magnetization (μB/atom): 0.000
Symmetry: No. 12
Electronic total energy (eV for the cell shown): -69.9



Entry 7:
The following is a DFT calculation (GGA-PBE) of a relaxed structure of Na2Zr2S5.

Cell: 7.2922 7.2675 7.8307 Å, 117.65 90.00 90.00°
With the nearest neighbours (Å) after each atom.
Atoms (fractional coordinates):
S 0.3565 0.9741 0.2366  3 Zr 2.62-2.75, 1 Na 2.89
S 0.8565 0.5259 0.7634  3 Zr 2.62-2.75, 1 Na 2.89
S 0.3565 0.7375 0.7634  3 Zr 2.62-2.75, 1 Na 2.89
S 0.6435 0.0259 0.7634  3 Zr 2.62-2.75, 1 Na 2.89
S 0.1435 0.4741 0.2366  3 Zr 2.62-2.75, 1 Na 2.89
S 0.1435 0.2375 0.7634  3 Zr 2.62-2.75, 1 Na 2.89
S 0.5000 0.5000 0.0000  4 Zr 2.74, 2 Na 2.81
S 0.8565 0.7625 0.2366  3 Zr 2.62-2.75, 1 Na 2.89
S 0.0000 0.0000 0.0000  4 Zr 2.74, 2 Na 2.81
S 0.6435 0.2625 0.2366  3 Zr 2.62-2.75, 1 Na 2.89
Na 0.5000 0.7029 0.4058  7 S 2.81-3.04
Na 0.5000 0.2971 0.5942  7 S 2.81-3.04
Na 0.0000 0.2029 0.4058  7 S 2.81-3.04
Na 0.0000 0.7971 0.5942  7 S 2.81-3.04
Zr 0.1585 0.6580 0.0000  8 S 2.62-2.75
Zr 0.6585 0.8420 0.0000  8 S 2.62-2.75
Zr 0.8415 0.3420 0.0000  8 S 2.62-2.75
Zr 0.3415 0.1580 0.0000  8 S 2.62-2.75

Calculated values
Magnetization (μB/atom): 0.000
Symmetry: No. 64
Electronic total energy (eV for the cell shown): -105.2



Entry 8:
The following is a DFT calculation (GGA-PBE) of a relaxed structure of NaZr3S.

Cell: 4.9871 4.9871 4.9871 Å, 90.00 90.00 90.00°
With the nearest neighbours (Å) after each atom.
Atoms (fractional coordinates):
S 0.5000 0.5000 0.5000  12 Zr 3.53
Zr 0.0000 0.0000 0.5000  2 Na 2.49
Zr 0.5000 0.0000 0.0000  2 Na 2.49
Zr 0.0000 0.5000 0.0000  2 Na 2.49
Na 0.0000 0.0000 0.0000  6 Zr 2.49

Calculated values
Magnetization (μB/atom): 0.400
Symmetry: No. 221
Energy above the most stable polymorph in this dataset (meV per atom): 1669
Electronic total energy (eV for the cell shown): -23.7